[1]
This record from the Alexandria database describes a geometry-optimized TlCo2Re structure. The functional is PBE.

Output
Energy above the most stable polymorph in this dataset, eV/atom: 0.000
Energy relative to the elements, kJ/mol of formula units: 148.9

abc: 2.8022 2.8022 7.3899
angles: 90.00 90.00 90.00
Last column: nearest neighbours and their distance in Å.
Space group P4/mmm (No. 123)
One atom of each set of equivalent atoms:
Tl: 0.0000 0.0000 0.0000 (multiplicity 1)  4 Tl 2.80, 8 Co 2.86
Co: 0.5000 0.5000 0.2799 (multiplicity 2)  4 Re 2.56, 4 Co 2.80, 4 Tl 2.86
Re: 0.0000 0.0000 0.5000 (multiplicity 1)  8 Co 2.56, 4 Re 2.80

[2]
This record from the Alexandria database describes a geometry-optimized PmY4As5 structure. The functional is PBE.

Output
Energy relative to the elements, kJ/mol of formula units: -1493.5

abc: 4.1483 5.8661 20.7315
angles: 90.00 90.00 90.00
Last column: nearest neighbours and their distance in Å.
Space group Immm (No. 71)
One atom of each set of equivalent atoms:
Pm: 0.0000 0.0000 0.0000 (multiplicity 2)  6 As 2.93-2.97
Y: 0.0000 0.0000 0.2011 (multiplicity 4)  6 As 2.91-2.93
Y: 0.0000 0.0000 0.3995 (multiplicity 4)  6 As 2.92-2.94
As: 0.0000 0.5000 0.0000 (multiplicity 2)  2 Pm 2.93, 4 Y 2.94
As: 0.0000 0.5000 0.1998 (multiplicity 4)  6 Y 2.92-2.93
As: 0.0000 0.5000 0.3975 (multiplicity 4)  4 Y 2.91-2.93, 2 Pm 2.97

[3]
This record from the Alexandria database describes a geometry-optimized Ba2BiSeF structure. The functional is PBE.

Output
Energy above the most stable polymorph in this dataset, eV/atom: 0.000
Formation energy from raw total energies, meV/atom: -1464

abc: 5.9636 5.9636 4.6348
angles: 90.00 90.00 90.00
Last column: nearest neighbours and their distance in Å.
Space group P4/mmm (No. 123)
One atom of each set of equivalent atoms:
Ba: 0.0000 0.5000 0.0000 (multiplicity 2)  2 F 2.98
Bi: 0.0000 0.0000 0.5000 (multiplicity 1)  2 F 2.32
Se: 0.5000 0.5000 0.5000 (multiplicity 1)  8 Ba 3.78, 4 Bi 4.22
F: 0.0000 0.0000 0.0000 (multiplicity 1)  2 Bi 2.32

[4]
This record from the Alexandria database describes a geometry-optimized K5Rb2Na6 structure. The functional is PBE.

Output
Energy relative to the elements, kJ/mol of formula units: 183.7

abc: 10.0546 10.0546 41.0415
angles: 90.00 90.00 120.00
Last column: nearest neighbours and their distance in Å.
Space group R-3m (No. 166, hexagonal axes)
One atom of each set of equivalent atoms:
K: 0.0000 0.0000 0.0000 (multiplicity 3)  2 Rb 4.29
K: 0.0000 0.0000 0.2272 (multiplicity 6)  6 Na 4.18
K: 0.0000 0.0000 0.4386 (multiplicity 6)  6 Na 4.18
Rb: 0.0000 0.0000 0.1045 (multiplicity 6)  6 Na 4.22, 1 K 4.29
Na: 0.0000 0.3318 0.5000 (multiplicity 18)  3 Na 3.34-3.38

[5]
This record from the Alexandria database describes a geometry-optimized Ba3SnI8 structure. The functional is PBE.

Output
Formation energy from raw total energies, meV/atom: -1434

abc: 9.6576 14.9248 9.8201
angles: 90.00 90.00 90.00
Last column: nearest neighbours and their distance in Å.
Space group C222 (No. 21)
One atom of each set of equivalent atoms:
Ba: 0.0000 0.0000 0.0000 (multiplicity 2)  6 I 3.47-3.48
Ba: 0.2500 0.2500 0.7455 (multiplicity 4)  6 I 3.45-3.49
Sn: 0.0000 0.0000 0.5000 (multiplicity 2)  6 I 3.22-3.24
I: 0.0000 0.2157 0.5000 (multiplicity 4)  1 Sn 3.22, 2 Ba 3.45
I: 0.0000 0.2325 0.0000 (multiplicity 4)  3 Ba 3.47-3.48
I: 0.2364 0.0162 0.7335 (multiplicity 8)  1 Sn 3.24, 2 Ba 3.48-3.49

| no. | ρ (Mg/m³) | density of states at the Fermi level (states/eV/atom) |
| --- | --- | --- |
| 1 | 14.551 | 1.0047 |
| 2 | 5.762 | 0.1606 |
| 3 | 5.859 | 0.7495 |
| 4 | 0.699 | 0.7435 |
| 5 | 3.627 | 0.0000 |